# 1
Computed, not measured: a relaxed KHfTlC2 crystal at the PBE level of DFT.

Values from the calculation:
Electronic total energy: -3.029 eV per atom
ΔH_f (0 K): 1613 kJ/mol of formula units

The structure in extended XYZ format:
```
5
Lattice="4.569 0.000 0.000 0.000 5.226 0.000 0.000 0.000 4.569" Properties=species:S:1:pos:R:3 pbc="T T T"
C 0.000 0.000 2.285
C 2.285 0.000 0.000
Tl 2.285 2.613 2.285
Hf 0.000 2.613 0.000
K 0.000 0.000 0.000
```



# 2
Computed, not measured: a relaxed KHfTl2C crystal at the PBE level of DFT.

Values from the calculation:
Electronic total energy: -4.320 eV per atom
ΔH_f (0 K): 329 kJ/mol of formula units

The structure in extended XYZ format:
```
5
Lattice="-2.412 4.544 -2.413 -2.520 -2.566 -2.314 -3.906 0.117 4.124" Properties=species:S:1:pos:R:3 pbc="T T T"
C 0.000 0.000 0.000
Tl -1.953 0.058 2.062
Tl -1.206 2.272 -1.206
Hf -1.260 -1.283 -1.157
K -4.419 1.047 -0.301
```



# 3
Computed, not measured: a relaxed KHf2ZnC crystal at the PBE level of DFT.

Values from the calculation:
Electronic total energy: -2.968 eV per atom
ΔH_f (0 K): 1608 kJ/mol of formula units

The structure in extended XYZ format:
```
5
Lattice="-2.844 2.875 2.912 -3.891 -1.808 -2.015 -0.111 -3.599 3.445" Properties=species:S:1:pos:R:3 pbc="T T T"
C -3.423 -1.266 2.171
Zn -1.946 -0.904 -1.007
Hf -0.056 -1.799 1.722
Hf -1.422 1.438 1.456
K 0.000 0.000 0.000
```



# 4
Computed, not measured: a relaxed LaHf3C crystal at the PBE level of DFT.

Values from the calculation:
Electronic total energy: -8.812 eV per atom
ΔH_f (0 K): -4 kJ/mol of formula units
Distance to the lowest polymorph of the same formula: 0.00 eV/f.u.

The structure in extended XYZ format:
```
5
Lattice="4.691 0.000 0.000 0.000 4.691 0.000 0.000 0.000 4.691" Properties=species:S:1:pos:R:3 pbc="T T T"
C 0.000 0.000 0.000
Hf 0.000 2.345 0.000
Hf 0.000 0.000 2.345
Hf 2.345 0.000 0.000
La 2.345 2.345 2.345
```



# 5
Computed, not measured: a relaxed LaHf3C crystal at the PBE level of DFT.

Values from the calculation:
Electronic total energy: -5.921 eV per atom
ΔH_f (0 K): 1390 kJ/mol of formula units
Distance to the lowest polymorph of the same formula: 14.45 eV/f.u.

The structure in extended XYZ format:
```
5
Lattice="5.118 0.000 0.000 0.000 5.118 0.000 0.000 0.000 5.118" Properties=species:S:1:pos:R:3 pbc="T T T"
C 2.559 2.559 2.559
Hf 0.000 2.559 0.000
Hf 0.000 0.000 2.559
Hf 2.559 0.000 0.000
La 0.000 0.000 0.000
```



# 6
Computed, not measured: a relaxed La3HfC crystal at the PBE level of DFT.

Values from the calculation:
Electronic total energy: -6.511 eV per atom
ΔH_f (0 K): 135 kJ/mol of formula units
Distance to the lowest polymorph of the same formula: 0.00 eV/f.u.

The structure in extended XYZ format:
```
5
Lattice="5.208 0.000 0.000 0.000 5.208 0.000 0.000 0.000 5.208" Properties=species:S:1:pos:R:3 pbc="T T T"
C 0.000 0.000 0.000
Hf 2.604 2.604 2.604
La 0.000 2.604 0.000
La 0.000 0.000 2.604
La 2.604 0.000 0.000
```



# 7
Computed, not measured: a relaxed La3HfC crystal at the PBE level of DFT.

Values from the calculation:
Electronic total energy: -5.084 eV per atom
ΔH_f (0 K): 824 kJ/mol of formula units
Distance to the lowest polymorph of the same formula: 7.14 eV/f.u.

The structure in extended XYZ format:
```
5
Lattice="-1.043 5.405 -0.952 -5.430 -0.875 0.981 0.800 1.109 5.417" Properties=species:S:1:pos:R:3 pbc="T T T"
C -2.836 2.819 2.722
Hf 0.000 0.000 0.000
La -2.715 -0.437 0.490
La 0.400 0.554 2.708
La -0.521 2.702 -0.476
```



# 8
Computed, not measured: a relaxed LaHf2C crystal at the PBE level of DFT.

Values from the calculation:
Electronic total energy: -8.274 eV per atom
ΔH_f (0 K): 93 kJ/mol of formula units

The structure in extended XYZ format:
```
8
Lattice="6.754 0.000 0.000 0.000 6.754 0.000 3.377 3.377 4.754" Properties=species:S:1:pos:R:3 pbc="T T T"
C 3.377 3.377 0.000
C 3.377 6.754 2.377
Hf 3.599 1.689 1.188
Hf 3.155 5.066 1.188
Hf 5.066 6.532 3.565
Hf 8.443 6.976 3.565
La 0.000 0.000 0.000
La 6.754 3.377 2.377
```



# 9
Computed, not measured: a relaxed La2Hf2C crystal at the PBE level of DFT.

Values from the calculation:
Electronic total energy: -6.983 eV per atom
ΔH_f (0 K): 393 kJ/mol of formula units
Distance to the lowest polymorph of the same formula: 0.00 eV/f.u.

The structure in extended XYZ format:
```
5
Lattice="-2.172 -2.920 0.563 1.295 -0.301 3.434 -7.400 4.170 5.132" Properties=species:S:1:pos:R:3 pbc="T T T"
C 0.000 0.000 0.000
Hf -5.005 -0.181 3.847
Hf -3.271 1.129 5.282
La -1.492 -0.735 2.473
La -6.783 1.684 6.656
```



# 10
Computed, not measured: a relaxed LaHfC crystal at the PBE level of DFT.

Values from the calculation:
Electronic total energy: -7.899 eV per atom
ΔH_f (0 K): 39 kJ/mol of formula units

The structure in extended XYZ format:
```
6
Lattice="-3.630 -0.899 0.846 -0.002 -2.622 -2.797 2.954 -6.338 5.937" Properties=species:S:1:pos:R:3 pbc="T T T"
La 2.387 -6.435 3.402
La -1.249 -1.663 1.559
C 1.012 -3.486 0.639
C 0.125 -4.613 4.323
Hf -0.339 -4.929 1.993
Hf 1.477 -3.169 2.969
```



# 11
Computed, not measured: a relaxed La2Hf2C crystal at the PBE level of DFT.

Values from the calculation:
Electronic total energy: -6.907 eV per atom
ΔH_f (0 K): 429 kJ/mol of formula units
Distance to the lowest polymorph of the same formula: 0.38 eV/f.u.

The structure in extended XYZ format:
```
10
Lattice="6.663 0.000 0.000 0.000 6.663 0.000 0.000 0.000 5.795" Properties=species:S:1:pos:R:3 pbc="T T T"
C 0.000 0.000 0.000
C 3.331 3.331 0.000
Hf 1.013 4.344 2.898
Hf 4.344 5.650 2.898
Hf 5.650 2.319 2.898
Hf 2.319 1.013 2.898
La 2.196 5.528 0.000
La 5.528 4.466 0.000
La 4.466 1.135 0.000
La 1.135 2.196 0.000
```



# 12
Computed, not measured: a relaxed LaHf2C crystal at the PBE level of DFT.

Values from the calculation:
Electronic total energy: -8.834 eV per atom
ΔH_f (0 K): -123 kJ/mol of formula units

The structure in extended XYZ format:
```
4
Lattice="-1.077 2.334 2.029 -3.035 -0.163 1.220 1.767 -4.060 8.251" Properties=species:S:1:pos:R:3 pbc="T T T"
C -1.172 -0.944 5.750
Hf 0.622 -2.314 5.636
Hf -2.967 0.427 5.864
La 0.000 0.000 0.000
```